The following is a DFT calculation (PBE-GGA) of crystalline Zr2Sc4Au3N3 at its relaxed geometry.

Lattice parameters (Å, degrees): 5.636 5.636 14.364 101.33 101.33 60.06
Positions (direct):
Zr  0.031  0.866  0.595
Zr  0.134  0.969  0.905
Zr  0.866  0.031  0.095
Zr  0.969  0.134  0.405
Sc  0.195  0.362  0.086
Sc  0.304  0.471  0.414
Sc  0.362  0.195  0.586
Sc  0.471  0.304  0.914
Sc  0.529  0.696  0.086
Sc  0.638  0.805  0.414
Sc  0.696  0.529  0.586
Sc  0.805  0.638  0.914
Au  0.083  0.284  0.750
Au  0.284  0.083  0.250
Au  0.451  0.549  0.750
Au  0.549  0.451  0.250
Au  0.716  0.917  0.750
Au  0.917  0.716  0.250
N  0.000  0.500  0.500
N  0.164  0.671  0.000
N  0.329  0.836  0.500
N  0.500  0.000  0.000
N  0.671  0.164  0.500
N  0.836  0.329  0.000

Properties
As for the calculated volume: 16.043 Å³ per atom. The total energy comes out at -7.587 eV/atom. The total magnetization comes out at 0.01 μB/f.u. As for the density: 8.584 g cm⁻³.